A plane-wave DFT calculation with PBE was carried out for a geometry-optimized KNaBeBr4 structure.

The raw formation energy is -134.4 kJ per mole of atoms. The total magnetic moment is 0.000 μB per atom. The density of states at the Fermi level comes out at 0.000 states/eV/atom. The value obtained for the total energy is -45.2 eV per cell.

The space group is P2_1/m (No. 11) and the conventional cell measures 6.909, 7.328 and 8.818 Å, with angles of 90.00, 107.87 and 90.00 degrees. The distinct sites, in fractional coordinates, are K at (0.236, 0.250, 0.433), Na at (0.277, 0.250, 0.949), Be at (0.279, 0.750, 0.186), Br at (0.086, 0.750, 0.939), Br at (0.094, 0.750, 0.351) and Br at (0.484, 0.511, 0.232).